# CsIn2I8

CsIn2I8 after structural relaxation (PBE-GGA, the Alexandria database).

Cell lengths 10.364, 10.364, 8.259 Å; angles 106.38, 106.38, 57.93 degrees
Atoms (fractional coordinates):
Cs  0.000  0.000  0.000
In  0.177  0.177  0.677
In  0.823  0.823  0.323
I  0.132  0.690  0.292
I  0.206  0.206  0.372
I  0.308  0.308  0.963
I  0.310  0.868  0.708
I  0.690  0.132  0.292
I  0.692  0.692  0.037
I  0.794  0.794  0.628
I  0.868  0.310  0.708

Space group = C2/m
Formation energy without anion corrections = -597 meV per atom
Total energy = -2.30 eV/atom